No. 1
Below is a relaxed V2ReSi crystal, with properties calculated at the PBE-GGA level.

Computed properties:
SG ... P4/mmm
ΔE_f (raw) ... -275 meV/atom

Cell: 3.764 3.764 3.817 Å, 90.00 90.00 90.00°
Fractional positions:
V 0.000 0.500 0.000
V 0.500 0.000 0.000
Re 0.000 0.000 0.500
Si 0.500 0.500 0.500

***

No. 2
Below is a relaxed VReSiW crystal, with properties calculated at the PBE-GGA level.

Computed properties:
SG ... F-43m
ΔE_f (raw) ... -101 meV/atom

Cell: 4.316 4.316 4.316 Å, 60.00 60.00 60.00°
Fractional positions:
V 0.000 0.000 0.000
Re 0.500 0.500 0.500
Si 0.750 0.750 0.750
W 0.250 0.250 0.250

***

No. 3
Below is a relaxed Re2SiW crystal, with properties calculated at the PBE-GGA level.

Computed properties:
SG ... R-3m
ΔE_f (raw) ... 76 meV/atom

Cell: 8.621 8.621 8.621 Å, 18.97 18.97 18.97°
Fractional positions:
Re 0.246 0.246 0.246
Re 0.754 0.754 0.754
Si 0.500 0.500 0.500
W 0.000 0.000 0.000